First-principles (GGA+U) data for an optimized crystal structure of WSeN2F, as listed in the Alexandria database.

- Total moment: 1.0 μB per formula unit
- Total DFT energy (no corrections): -3.88 eV/atom
- DOS(E_F): 0.2886 states/eV/atom
- Energy above the most stable polymorph in this dataset: 1614 meV per atom

```
data_WSeN2F
_chemical_formula_sum 'W1 Se1 N2 F1'
_space_group_name_H-M_alt 'P 4/m m m'
_space_group_IT_number 123
_space_group_name_Hall '-P 4 2'
_cell_length_a 4.056
_cell_length_b 4.056
_cell_length_c 3.974
_cell_angle_alpha 90.00
_cell_angle_beta 90.00
_cell_angle_gamma 90.00
loop_
_atom_site_label
_atom_site_type_symbol
_atom_site_fract_x
_atom_site_fract_y
_atom_site_fract_z
_atom_site_occupancy
W1 W 0.000 0.000 0.000 1
Se1 Se 0.500 0.500 0.000 1
N1 N 0.000 0.500 0.500 1
F1 F 0.500 0.500 0.500 1
```